# GGA-PBE YTaAl2Cl, optimized geometry
# Total magnetic moment (μB per cell): 0.00
# E_form (uncorrected) (kJ/mol of formula units): 252
data_YTaAl2Cl
_chemical_formula_sum 'Y1 Ta1 Al2 Cl1'
_space_group_name_H-M_alt 'P 4/m m m'
_space_group_IT_number 123
_space_group_name_Hall '-P 4 2'
_cell_length_a 4.6991
_cell_length_b 4.6991
_cell_length_c 4.8924
_cell_angle_alpha 90.00
_cell_angle_beta 90.00
_cell_angle_gamma 90.00
loop_
_atom_site_label
_atom_site_fract_x
_atom_site_fract_y
_atom_site_fract_z
_atom_site_occupancy
Y1 0.0000 0.0000 0.0000 1
Ta1 0.5000 0.5000 0.0000 1
Al1 0.0000 0.5000 0.5000 1
Cl1 0.0000 0.0000 0.5000 1

# GGA-PBE Tb2AlCl, optimized geometry
# Total magnetic moment (μB per cell): 0.00
# E_form (uncorrected) (kJ/mol of formula units): -295
# E above lowest polymorph (meV per atom): 25.6
data_Tb2AlCl
_chemical_formula_sum 'Tb2 Al1 Cl1'
_space_group_name_H-M_alt 'P 4/m m m'
_space_group_IT_number 123
_space_group_name_Hall '-P 4 2'
_cell_length_a 3.3765
_cell_length_b 3.3765
_cell_length_c 8.2595
_cell_angle_alpha 90.00
_cell_angle_beta 90.00
_cell_angle_gamma 90.00
loop_
_atom_site_label
_atom_site_fract_x
_atom_site_fract_y
_atom_site_fract_z
_atom_site_occupancy
Tb1 0.0000 0.0000 0.2339 1
Al1 0.5000 0.5000 0.0000 1
Cl1 0.5000 0.5000 0.5000 1

# GGA-PBE TbAlCl6, optimized geometry
# Total magnetic moment (μB per cell): 0.00
# E_form (uncorrected) (kJ/mol of formula units): -1407
data_TbAlCl6
_chemical_formula_sum 'Tb2 Al2 Cl12'
_space_group_name_H-M_alt 'C 1 2/m 1'
_space_group_IT_number 12
_cell_length_a 6.2605
_cell_length_b 12.7115
_cell_length_c 6.2443
_cell_angle_alpha 90.00
_cell_angle_beta 106.49
_cell_angle_gamma 90.00
loop_
_space_group_symop_operation_xyz
'x,y,z'
'-x,-y,-z'
'-x,y,-z'
'x,-y,z'
'x+1/2,y+1/2,z'
'-x+1/2,-y+1/2,-z'
'-x+1/2,y+1/2,-z'
'x+1/2,-y+1/2,z'
loop_
_atom_site_label
_atom_site_fract_x
_atom_site_fract_y
_atom_site_fract_z
_atom_site_occupancy
Tb1 0.0000 0.0000 0.0000 1
Al1 0.0000 0.5000 0.5000 1
Cl1 0.2187 0.3685 0.7204 1
Cl2 0.2378 0.5000 0.2638 1

# GGA-PBE TbAlCl, optimized geometry
# Total magnetic moment (μB per cell): 0.00
# E_form (uncorrected) (kJ/mol of formula units): -348
data_TbAlCl
_chemical_formula_sum 'Tb6 Al6 Cl6'
_space_group_name_H-M_alt 'R -3 m'
_space_group_IT_number 166
_space_group_name_Hall '-R 3 2"'
_cell_length_a 4.1836
_cell_length_b 4.1836
_cell_length_c 32.2879
_cell_angle_alpha 90.00
_cell_angle_beta 90.00
_cell_angle_gamma 120.00
loop_
_atom_site_label
_atom_site_fract_x
_atom_site_fract_y
_atom_site_fract_z
_atom_site_occupancy
Tb1 0.0000 0.0000 0.0653 1
Al1 0.0000 0.0000 0.3407 1
Cl1 0.0000 0.0000 0.2206 1

# GGA-PBE Tb2AlCl, optimized geometry
# Total magnetic moment (μB per cell): 0.00
# E_form (uncorrected) (kJ/mol of formula units): -305
# E above lowest polymorph (meV per atom): 0.0
data_Tb2AlCl
_chemical_formula_sum 'Tb6 Al3 Cl3'
_space_group_name_H-M_alt 'R 3 m'
_space_group_IT_number 160
_space_group_name_Hall 'R 3 -2"'
_cell_length_a 3.6160
_cell_length_b 3.6160
_cell_length_c 25.9021
_cell_angle_alpha 90.00
_cell_angle_beta 90.00
_cell_angle_gamma 120.00
loop_
_atom_site_label
_atom_site_fract_x
_atom_site_fract_y
_atom_site_fract_z
_atom_site_occupancy
Tb1 0.0000 0.0000 0.0000 1
Tb2 0.0000 0.0000 0.1675 1
Al1 0.0000 0.0000 0.5837 1
Cl1 0.0000 0.0000 0.7522 1

# GGA-PBE TbAl2Cl8, optimized geometry
# Total magnetic moment (μB per cell): 2.01
# E_form (uncorrected) (kJ/mol of formula units): -1690
data_TbAl2Cl8
_chemical_formula_sum 'Tb2 Al4 Cl16'
_space_group_name_H-M_alt 'C 1 2/m 1'
_space_group_IT_number 12
_cell_length_a 13.6020
_cell_length_b 8.9220
_cell_length_c 6.4404
_cell_angle_alpha 90.00
_cell_angle_beta 97.85
_cell_angle_gamma 90.00
loop_
_space_group_symop_operation_xyz
'x,y,z'
'-x,-y,-z'
'-x,y,-z'
'x,-y,z'
'x+1/2,y+1/2,z'
'-x+1/2,-y+1/2,-z'
'-x+1/2,y+1/2,-z'
'x+1/2,-y+1/2,z'
loop_
_atom_site_label
_atom_site_fract_x
_atom_site_fract_y
_atom_site_fract_z
_atom_site_occupancy
Tb1 0.0000 0.0000 0.0000 1
Al1 0.1850 0.0000 0.6431 1
Cl1 0.1009 0.1858 0.7595 1
Cl2 0.1620 0.5000 0.2452 1
Cl3 0.1671 0.0000 0.2933 1

# GGA-PBE TbAlCl, optimized geometry
# Total magnetic moment (μB per cell): 0.67
# E_form (uncorrected) (kJ/mol of formula units): -301
data_TbAlCl
_chemical_formula_sum 'Tb2 Al2 Cl2'
_space_group_name_H-M_alt 'P 4/n m m'
_space_group_IT_number 129
_cell_length_a 3.4122
_cell_length_b 3.4122
_cell_length_c 12.4564
_cell_angle_alpha 90.00
_cell_angle_beta 90.00
_cell_angle_gamma 90.00
loop_
_space_group_symop_operation_xyz
'x,y,z'
'-x,-y,-z'
'-y+1/2,x,z'
'y+1/2,-x,-z'
'-x+1/2,-y+1/2,z'
'x+1/2,y+1/2,-z'
'y,-x+1/2,z'
'-y,x+1/2,-z'
'x+1/2,-y,-z'
'-x+1/2,y,z'
'-y,-x,-z'
'y,x,z'
'-x,y+1/2,-z'
'x,-y+1/2,z'
'y+1/2,x+1/2,-z'
'-y+1/2,-x+1/2,z'
loop_
_atom_site_label
_atom_site_fract_x
_atom_site_fract_y
_atom_site_fract_z
_atom_site_occupancy
Tb1 0.2500 0.2500 0.2238 1
Al1 0.2500 0.2500 0.9439 1
Cl1 0.2500 0.2500 0.6459 1

# GGA-PBE Tb2AlCl, optimized geometry
# Total magnetic moment (μB per cell): 0.00
# E_form (uncorrected) (kJ/mol of formula units): -300
# E above lowest polymorph (meV per atom): 12.6
data_Tb2AlCl
_chemical_formula_sum 'Tb6 Al3 Cl3'
_space_group_name_H-M_alt 'R -3 m'
_space_group_IT_number 166
_space_group_name_Hall '-R 3 2"'
_cell_length_a 3.6743
_cell_length_b 3.6743
_cell_length_c 25.3086
_cell_angle_alpha 90.00
_cell_angle_beta 90.00
_cell_angle_gamma 120.00
loop_
_atom_site_label
_atom_site_fract_x
_atom_site_fract_y
_atom_site_fract_z
_atom_site_occupancy
Tb1 0.0000 0.0000 0.2494 1
Al1 0.0000 0.0000 0.5000 1
Cl1 0.0000 0.0000 0.0000 1

Copy entry 4 word for word.
# GGA-PBE TbAlCl, optimized geometry
# Total magnetic moment (μB per cell): 0.00
# E_form (uncorrected) (kJ/mol of formula units): -348
data_TbAlCl
_chemical_formula_sum 'Tb6 Al6 Cl6'
_space_group_name_H-M_alt 'R -3 m'
_space_group_IT_number 166
_space_group_name_Hall '-R 3 2"'
_cell_length_a 4.1836
_cell_length_b 4.1836
_cell_length_c 32.2879
_cell_angle_alpha 90.00
_cell_angle_beta 90.00
_cell_angle_gamma 120.00
loop_
_atom_site_label
_atom_site_fract_x
_atom_site_fract_y
_atom_site_fract_z
_atom_site_occupancy
Tb1 0.0000 0.0000 0.0653 1
Al1 0.0000 0.0000 0.3407 1
Cl1 0.0000 0.0000 0.2206 1

Please write out number 1 again, unchanged.
# GGA-PBE YTaAl2Cl, optimized geometry
# Total magnetic moment (μB per cell): 0.00
# E_form (uncorrected) (kJ/mol of formula units): 252
data_YTaAl2Cl
_chemical_formula_sum 'Y1 Ta1 Al2 Cl1'
_space_group_name_H-M_alt 'P 4/m m m'
_space_group_IT_number 123
_space_group_name_Hall '-P 4 2'
_cell_length_a 4.6991
_cell_length_b 4.6991
_cell_length_c 4.8924
_cell_angle_alpha 90.00
_cell_angle_beta 90.00
_cell_angle_gamma 90.00
loop_
_atom_site_label
_atom_site_fract_x
_atom_site_fract_y
_atom_site_fract_z
_atom_site_occupancy
Y1 0.0000 0.0000 0.0000 1
Ta1 0.5000 0.5000 0.0000 1
Al1 0.0000 0.5000 0.5000 1
Cl1 0.0000 0.0000 0.5000 1

Please write out number 2 again, unchanged.
# GGA-PBE Tb2AlCl, optimized geometry
# Total magnetic moment (μB per cell): 0.00
# E_form (uncorrected) (kJ/mol of formula units): -295
# E above lowest polymorph (meV per atom): 25.6
data_Tb2AlCl
_chemical_formula_sum 'Tb2 Al1 Cl1'
_space_group_name_H-M_alt 'P 4/m m m'
_space_group_IT_number 123
_space_group_name_Hall '-P 4 2'
_cell_length_a 3.3765
_cell_length_b 3.3765
_cell_length_c 8.2595
_cell_angle_alpha 90.00
_cell_angle_beta 90.00
_cell_angle_gamma 90.00
loop_
_atom_site_label
_atom_site_fract_x
_atom_site_fract_y
_atom_site_fract_z
_atom_site_occupancy
Tb1 0.0000 0.0000 0.2339 1
Al1 0.5000 0.5000 0.0000 1
Cl1 0.5000 0.5000 0.5000 1